Record 1
Ac3AlGa2Cu6: relaxed, PBE.

Values from the calculation:
ρ: 7.61 g/cm3
Calculated formation energy: -0.1776 eV per atom

a = 6.2027 Å, b = 6.2027 Å, c = 8.0469 Å
α = 90.00°, β = 90.00°, γ = 120.00°
Closest atoms and distances in Å follow each position.
Space group P-3m1 (No. 164)
Inequivalent atoms, fractional coordinates:
1 Ac 0.0000 0.0000 0.0000  6 Ga 3.72, 6 Cu 3.74, 2 Al 4.02
2 Ac 0.3333 0.6667 0.7327  1 Ga 3.16, 9 Cu 3.18-3.25
3 Al 0.0000 0.0000 0.5000  6 Cu 2.35
4 Ga 0.3333 0.6667 0.1252  3 Cu 2.50
5 Cu 0.1999 0.3997 0.3800  1 Al 2.35, 2 Cu 2.48, 1 Ga 2.50

Record 2
NaLi: relaxed, PBE.

Values from the calculation:
Energy above the most stable polymorph in this dataset: 18 meV per atom
ρ: 0.85 g/cm3
Calculated formation energy: 0.0572 eV per atom

a = 11.5923 Å, b = 11.5923 Å, c = 3.4622 Å
α = 90.00°, β = 90.00°, γ = 90.00°
Closest atoms and distances in Å follow each position.
Space group I4/m (No. 87)
Inequivalent atoms, fractional coordinates:
1 Na 0.1351 0.8317 0.0000  5 Li 3.39-3.44, 6 Na 3.46-3.70
2 Li 0.0390 0.3565 0.5000  4 Li 2.99

Question: The highest ρ belongs to which entry?
Answer: Ac3AlGa2Cu6

Question: Number 1 is which compound?
Answer: Ac3AlGa2Cu6

Question: Among the records above, which one has the highest ρ?
Answer: Ac3AlGa2Cu6